No. 1
BaY2In, optimized geometry, DFT PBE-GGA; DFT total energy = -4.499 eV per atom; crystal system = orthorhombic; calculated formation energy = -102 meV per atom
1.0
3.738 0.000 0.000
0.000 4.884 0.000
0.000 0.000 7.619
Ba Y In
1 2 1
direct
0.000 0.000 0.000
0.000 0.000 0.534
0.500 0.500 0.318
0.500 0.500 0.733

=====

No. 2
BaY2In3, optimized geometry, DFT PBE-GGA; DFT total energy = -4.301 eV per atom; crystal system = tetragonal; calculated formation energy = -457 meV per atom
1.0
3.874 0.000 0.000
0.000 3.874 0.000
0.000 0.000 12.093
Ba Y In
1 2 3
direct
0.000 0.000 0.000
0.000 0.000 0.348
0.000 0.000 0.652
0.500 0.500 0.203
0.500 0.500 0.500
0.500 0.500 0.797

=====

No. 3
Ba2YIn, optimized geometry, DFT PBE-GGA; DFT total energy = -3.257 eV per atom; crystal system = orthorhombic; calculated formation energy = 5 meV per atom
1.0
3.976 0.000 0.000
0.000 5.299 0.000
0.000 0.000 7.613
Ba Y In
2 1 1
direct
0.000 0.000 0.236
0.000 0.000 0.764
0.500 0.500 0.500
0.500 0.500 0.000

=====

No. 4
BaYIn2, optimized geometry, DFT PBE-GGA; DFT total energy = -3.729 eV per atom; crystal system = monoclinic; calculated formation energy = -263 meV per atom
1.0
10.166 0.000 0.000
0.000 3.916 0.000
-1.551 0.000 7.251
Ba Y In
2 2 4
direct
0.000 0.000 0.000
0.500 0.500 0.000
0.000 0.500 0.500
0.500 0.000 0.500
0.244 0.000 0.682
0.256 0.500 0.318
0.744 0.500 0.682
0.756 0.000 0.318